Record 1
LuCdCoRh | PBE | optimized geometry

Cell lengths 4.5734, 4.5734, 4.5734 Å; angles 60.00, 60.00, 60.00 degrees
Fractional coordinates of all 4 atoms:
Lu 0.0000 0.0000 0.0000
Cd 0.5000 0.5000 0.5000
Co 0.2500 0.2500 0.2500
Rh 0.7500 0.7500 0.7500

Summary:
- symmetry = F-43m
- formation energy (eV/atom) = -0.28

---

Record 2
RePtNO2 | PBE | optimized geometry

Cell lengths 3.8126, 3.8126, 4.0835 Å; angles 90.00, 90.00, 90.00 degrees
Fractional coordinates of all 5 atoms:
Re 0.0000 0.0000 0.0000
Pt 0.5000 0.5000 0.5000
N 0.0000 0.0000 0.5000
O 0.0000 0.5000 0.0000
O 0.5000 0.0000 0.0000

Summary:
- symmetry = P4/mmm
- ΔE_f (raw) (meV per atom) = 147

---

Record 3
Ti4Ga2Rh | PBE | optimized geometry

Cell lengths 6.6647, 5.3541, 7.1935 Å; angles 90.00, 117.63, 90.00 degrees
Fractional coordinates of all 14 atoms:
Ti 0.0043 0.2500 0.0239
Ti 0.1226 0.7500 0.4026
Ti 0.4349 0.0010 0.2775
Ti 0.4349 0.4990 0.2775
Ti 0.5651 0.5010 0.7225
Ti 0.5651 0.9990 0.7225
Ti 0.8774 0.2500 0.5974
Ti 0.9957 0.7500 0.9761
Ga 0.1917 0.2500 0.4405
Ga 0.3272 0.2500 0.8997
Ga 0.6728 0.7500 0.1003
Ga 0.8083 0.7500 0.5595
Rh 0.2476 0.7500 0.8121
Rh 0.7524 0.2500 0.1879

Summary:
- symmetry = P2_1/m
- offset from the most stable computed form (meV/atom) = 0
- formation energy (eV/atom) = -0.33

---

Record 4
CuPtNF2 | PBE | optimized geometry

Cell lengths 4.4863, 4.4863, 3.6690 Å; angles 90.00, 90.00, 90.00 degrees
Fractional coordinates of all 5 atoms:
Cu 0.0000 0.0000 0.0000
Pt 0.5000 0.5000 0.5000
N 0.5000 0.5000 0.0000
F 0.0000 0.5000 0.5000
F 0.5000 0.0000 0.5000

Summary:
- symmetry = P4/mmm
- offset from the most stable computed form (meV/atom) = 0
- ΔE_f (raw) (meV per atom) = 103

---

Record 5
DyOs3 | PBE | optimized geometry

Cell lengths 5.8164, 5.8164, 4.5964 Å; angles 90.00, 90.00, 120.00 degrees
Fractional coordinates of all 8 atoms:
Dy 0.3333 0.6667 0.2500
Dy 0.6667 0.3333 0.7500
Os 0.1588 0.3175 0.7500
Os 0.1588 0.8412 0.7500
Os 0.3175 0.1588 0.2500
Os 0.6825 0.8412 0.7500
Os 0.8412 0.1588 0.2500
Os 0.8412 0.6825 0.2500

Summary:
- symmetry = P6_3/mmc
- formation energy (eV/atom) = 0.42

---

Record 6
TiSiAu3 | PBE | optimized geometry

Cell lengths 4.7130, 4.7130, 4.7130 Å; angles 90.00, 90.00, 90.00 degrees
Fractional coordinates of all 5 atoms:
Ti 0.0000 0.0000 0.0000
Si 0.5000 0.5000 0.5000
Au 0.0000 0.5000 0.5000
Au 0.5000 0.0000 0.5000
Au 0.5000 0.5000 0.0000

Summary:
- symmetry = Pm-3m
- offset from the most stable computed form (meV/atom) = 0
- ΔE_f (raw) (meV per atom) = 318

---

Record 7
Ce2SnPt | PBE | optimized geometry

Cell lengths 4.4886, 4.4886, 4.5818 Å; angles 90.00, 90.00, 90.00 degrees
Fractional coordinates of all 4 atoms:
Ce 0.0000 0.5000 0.0000
Ce 0.5000 0.0000 0.0000
Sn 0.0000 0.0000 0.5000
Pt 0.5000 0.5000 0.5000

Summary:
- symmetry = P4/mmm
- formation energy (eV/atom) = -0.70

---

Record 8
NaNdGdIn | PBE | optimized geometry

Cell lengths 5.4977, 5.4977, 5.4977 Å; angles 60.00, 60.00, 60.00 degrees
Fractional coordinates of all 4 atoms:
Na 0.0000 0.0000 0.0000
Nd 0.2500 0.2500 0.2500
Gd 0.7500 0.7500 0.7500
In 0.5000 0.5000 0.5000

Summary:
- symmetry = F-43m
- formation energy (eV/atom) = -0.16

---

Record 9
Fe2PbAu | PBE | optimized geometry

Cell lengths 4.0882, 4.0882, 4.0934 Å; angles 90.00, 90.00, 90.00 degrees
Fractional coordinates of all 4 atoms:
Fe 0.0000 0.5000 0.0000
Fe 0.5000 0.0000 0.0000
Pb 0.0000 0.0000 0.5000
Au 0.5000 0.5000 0.5000

Summary:
- symmetry = P4/mmm
- formation energy (eV/atom) = 0.41

---

Record 10
Rb2DyBS4 | PBE | optimized geometry

Cell lengths 14.2711, 12.7376, 7.6342 Å; angles 85.03, 62.77, 32.20 degrees
Fractional coordinates of all 16 atoms:
Rb 0.0543 0.0543 0.6957
Rb 0.3043 0.3043 0.9457
Rb 0.6957 0.6957 0.0543
Rb 0.9457 0.9457 0.3043
Dy 0.1250 0.1250 0.1250
Dy 0.8750 0.8750 0.8750
B 0.3750 0.3750 0.3750
B 0.6250 0.6250 0.6250
S 0.0628 0.5907 0.5143
S 0.3322 0.5143 0.5907
S 0.4093 0.9372 0.6678
S 0.4857 0.6678 0.9372
S 0.5143 0.3322 0.0628
S 0.5907 0.0628 0.3322
S 0.6678 0.4857 0.4093
S 0.9372 0.4093 0.4857

Summary:
- symmetry = Fddd
- ΔE_f (raw) (meV per atom) = -1119

---

Record 11
MnFe2Co | PBE | optimized geometry

Cell lengths 4.3603, 4.3603, 4.3603 Å; angles 132.02, 132.02, 70.20 degrees
Fractional coordinates of all 4 atoms:
Mn 0.0000 0.0000 0.0000
Fe 0.5000 0.5000 0.0000
Fe 0.7500 0.2500 0.5000
Co 0.2500 0.7500 0.5000

Summary:
- symmetry = I-4m2
- formation energy (eV/atom) = 0.04

---

Record 12
Tb3Pm5Er3 | PBE | optimized geometry

Cell lengths 11.2371, 11.2371, 3.4468 Å; angles 90.00, 90.00, 120.00 degrees
Fractional coordinates of all 11 atoms:
Tb 0.0000 0.4043 0.0000
Tb 0.4043 0.0000 0.0000
Tb 0.5957 0.5957 0.0000
Pm 0.0000 0.6615 0.5000
Pm 0.3333 0.6667 0.5000
Pm 0.3385 0.3385 0.5000
Pm 0.6615 0.0000 0.5000
Pm 0.6667 0.3333 0.5000
Er 0.0000 0.1593 0.5000
Er 0.1593 0.0000 0.5000
Er 0.8407 0.8407 0.5000

Summary:
- symmetry = P-62m
- offset from the most stable computed form (meV/atom) = 0
- formation energy (eV/atom) = 0.32